No. 1
Entry from Alexandria via LeMat-Bulk: LiTbCu11 after structural relaxation (PBE).

- E: -52.6 eV per cell
- Formation enthalpy at 0 K: -0.0769 eV per atom

POSCAR file:
```
LiTbCu11
1.0
1.541 3.783 2.547
-2.460 -0.027 6.030
5.443 -1.287 3.166
Cu Tb Li
11 1 1
Cartesian
0.069 1.588 6.649
2.081 1.987 4.920
2.721 -0.643 1.583
3.492 1.248 2.857
1.887 3.276 7.560
-1.230 -0.013 3.015
4.454 0.881 5.095
2.443 0.482 6.824
1.079 0.762 2.766
3.444 1.708 8.977
2.636 -0.806 4.183
0.000 0.000 0.000
-0.460 1.878 4.289
```

***

No. 2
Entry from Alexandria via LeMat-Bulk: Li4TbCu after structural relaxation (PBE).

- E: -15.6 eV per cell
- Formation enthalpy at 0 K: 0.1360 eV per atom

POSCAR file:
```
Li4TbCu
1.0
-0.805 2.935 4.349
-1.821 -2.274 4.438
3.195 -0.552 4.203
Li Cu Tb
4 1 1
Cartesian
0.357 0.069 8.158
-1.278 0.351 6.006
0.769 -1.434 5.931
1.289 1.233 5.886
0.000 0.000 0.000
0.142 0.027 3.248
```

***

No. 3
Entry from Alexandria via LeMat-Bulk: Li2TbCu after structural relaxation (PBE).

- E: -11.4 eV per cell
- Formation enthalpy at 0 K: 0.2954 eV per atom

POSCAR file:
```
Li2TbCu
1.0
-1.404 -1.378 -2.388
0.962 -2.777 -0.967
-6.591 -5.831 5.235
Cu Tb Li
1 1 2
Cartesian
-3.517 -4.993 0.940
0.000 0.000 0.000
-4.621 -4.472 3.293
-2.412 -5.514 -1.413
```

***

No. 4
Entry from Alexandria via LeMat-Bulk: LiTb2Cu3 after structural relaxation (PBE).

- E: -48.6 eV per cell
- Formation enthalpy at 0 K: -0.1377 eV per atom

POSCAR file:
```
LiTb2Cu3
1.0
-5.432 0.731 -1.086
1.359 -3.996 -3.662
0.322 -3.590 7.437
Li Cu Tb
2 6 4
Cartesian
-2.610 -3.378 -0.682
-1.142 -3.477 3.371
0.273 -5.537 3.574
-3.183 -5.122 1.009
-0.569 -1.733 1.680
-4.025 -1.318 -0.885
-3.132 -3.168 4.865
-0.620 -3.687 -2.176
-0.178 -4.609 0.700
-1.007 -0.807 -1.173
-3.574 -2.246 1.988
-3.067 -2.458 -3.575
```

***

No. 5
Entry from Alexandria via LeMat-Bulk: Li6TbCu6 after structural relaxation (PBE).

- E: -41.6 eV per cell
- Formation enthalpy at 0 K: -0.0670 eV per atom

POSCAR file:
```
Li6TbCu6
1.0
4.619 0.000 1.846
2.265 6.220 1.034
0.001 -0.030 6.700
Li Cu Tb
6 6 1
Cartesian
5.069 4.892 7.422
3.776 2.217 3.955
3.109 3.974 5.625
0.782 2.128 4.744
1.483 4.063 2.990
1.816 1.299 2.158
0.000 -0.015 3.350
1.133 3.110 0.517
3.442 3.110 1.440
4.087 4.875 3.177
2.798 1.316 6.403
2.310 -0.015 4.273
0.000 0.000 0.000
```

***

No. 6
Entry from Alexandria via LeMat-Bulk: LiTb2Cu2 after structural relaxation (PBE).

- E: -40.3 eV per cell
- Formation enthalpy at 0 K: -0.1569 eV per atom

POSCAR file:
```
LiTb2Cu2
1.0
3.738 0.000 0.000
0.000 7.586 0.000
0.000 0.000 7.586
Tb Cu Li
4 4 2
Cartesian
1.869 5.095 6.285
1.869 1.302 5.095
1.869 6.285 2.491
1.869 2.491 1.302
0.000 6.667 4.713
0.000 0.919 2.874
0.000 2.874 6.667
0.000 4.713 0.919
0.000 3.793 3.793
0.000 0.000 0.000
```